A relaxed structure of Pm2PuCuSe5, computed with PBE.

Results
As for the crystal system: orthorhombic. Its formation energy from raw total energies is -13.03 eV per formula unit. The calculation puts the size of the total moment at 20.00 Bohr magnetons per cell. For the density of states at the Fermi level, the calculation gives 52.0 states/eV/cell.

Cell lengths 4.073, 17.799, 12.080 Å; angles 90.00, 90.00, 90.00 degrees
Space group Cmc2_1 (No. 36)
Unique sites:
Pm 0.000 0.108 0.000 (multiplicity 4)
Pm 0.000 0.120 0.624 (multiplicity 4)
Pu 0.000 0.198 0.325 (multiplicity 4)
Cu 0.000 0.436 0.770 (multiplicity 4)
Se 0.000 0.044 0.376 (multiplicity 4)
Se 0.000 0.290 0.992 (multiplicity 4)
Se 0.000 0.316 0.659 (multiplicity 4)
Se 0.000 0.361 0.316 (multiplicity 4)
Se 0.000 0.499 0.094 (multiplicity 4)